# 1
A plane-wave DFT calculation with GGA-PBE was carried out for an optimized crystal structure of KTc2Cl.

Computed properties:
For the offset from the most stable computed form, the calculation gives 1827 meV/atom. Its density of states at the Fermi level is 0.59 states/eV per atom. The calculation puts the formation energy without anion corrections at 1877.9 meV/atom. Its calculated density is 4.95 g cm⁻³. The volume comes out at 90.7 Å³ per cell.

Cell lengths 5.044, 5.044, 5.044 Å; angles 60.00, 60.00, 60.00 degrees
Site moments in Bohr magnetons follow the coordinates.
Atoms (fractional coordinates):
Tc1 0.750 0.750 0.750  3.00
Tc2 0.250 0.250 0.250  3.00
K1 0.500 0.500 0.500  0.06
Cl1 0.000 0.000 0.000  0.15


# 2
A plane-wave DFT calculation with GGA-PBE was carried out for an optimized crystal structure of PmOsCl.

Computed properties:
For the offset from the most stable computed form, the calculation gives 0 meV/atom. Its density of states at the Fermi level is 0.56 states/eV per atom. The calculation puts the formation energy without anion corrections at -1109.6 meV/atom. Its calculated density is 7.46 g cm⁻³. The volume comes out at 165.0 Å³ per cell.

Cell lengths 4.186, 4.186, 11.137 Å; angles 79.17, 79.17, 60.00 degrees
Atoms (fractional coordinates):
Os1 0.162 0.162 0.515
Os2 0.838 0.838 0.485
Cl1 0.282 0.282 0.153
Cl2 0.718 0.718 0.847
Pm1 0.435 0.435 0.694
Pm2 0.565 0.565 0.306


# 3
A plane-wave DFT calculation with GGA-PBE was carried out for an optimized crystal structure of AgCl3F.

Computed properties:
For the offset from the most stable computed form, the calculation gives 0 meV/atom. The calculation puts the formation energy without anion corrections at -288.6 meV/atom. Its calculated density is 2.72 g cm⁻³. The volume comes out at 570.1 Å³ per cell.

Cell lengths 7.538, 8.806, 8.806 Å; angles 78.84, 94.80, 94.80 degrees
Atoms (fractional coordinates):
F1 0.118 0.357 0.935
F2 0.618 0.935 0.357
F3 0.382 0.065 0.643
F4 0.882 0.643 0.065
Cl1 0.843 0.940 0.320
Cl2 0.665 0.268 0.951
Cl3 0.165 0.951 0.268
Cl4 0.157 0.060 0.680
Cl5 0.177 0.647 0.566
Cl6 0.835 0.049 0.732
Cl7 0.343 0.320 0.940
Cl8 0.677 0.566 0.647
Cl9 0.323 0.434 0.353
Cl10 0.335 0.732 0.049
Cl11 0.823 0.353 0.434
Cl12 0.657 0.680 0.060
Ag1 0.750 0.977 0.023
Ag2 0.250 0.686 0.314
Ag3 0.250 0.023 0.977
Ag4 0.750 0.314 0.686